1.
Compound: CaHg3C
Source: the Alexandria database
Functional: PBE-GGA
Structure: relaxed

Computed properties:
Energy of formation from the pure elements in eV/atom: 0.68

Cell and atoms, written as CIF:
```
data_CaHg3C
_chemical_formula_sum 'Ca1 Hg3 C1'
_cell_length_a 4.8768
_cell_length_b 4.8768
_cell_length_c 4.8768
_cell_angle_alpha 90.00
_cell_angle_beta 90.00
_cell_angle_gamma 90.00
_space_group_name_H-M_alt 'P m -3 m'
_space_group_IT_number 221
_space_group_name_Hall '-P 4 2 3'
loop_
_atom_site_label
_atom_site_type_symbol
_atom_site_fract_x
_atom_site_fract_y
_atom_site_fract_z
Ca1 Ca 0.0000 0.0000 0.0000
Hg1 Hg 0.0000 0.5000 0.5000
C1 C 0.5000 0.5000 0.5000
```

=====

2.
Compound: AlFeSi2
Source: the Alexandria database
Functional: PBE-GGA
Structure: relaxed

Computed properties:
Energy in eV per atom: -5.56

Cell and atoms, written as CIF:
```
data_AlFeSi2
_chemical_formula_sum 'Al4 Fe4 Si8'
_cell_length_a 5.8718
_cell_length_b 5.8718
_cell_length_c 5.8718
_cell_angle_alpha 90.00
_cell_angle_beta 90.00
_cell_angle_gamma 90.00
_space_group_name_H-M_alt 'F -4 3 m'
_space_group_IT_number 216
_space_group_name_Hall 'F -4 2 3'
loop_
_atom_site_label
_atom_site_type_symbol
_atom_site_fract_x
_atom_site_fract_y
_atom_site_fract_z
Al1 Al 0.0000 0.0000 0.0000
Fe1 Fe 0.2500 0.2500 0.2500
Si1 Si 0.0000 0.0000 0.5000
Si2 Si 0.2500 0.2500 0.7500
```

=====

3.
Compound: MgFeCl4
Source: the Alexandria database
Functional: PBE-GGA
Structure: relaxed

Computed properties:
Energy in eV per atom: -4.12

Cell and atoms, written as CIF:
```
data_MgFeCl4
_chemical_formula_sum 'Mg2 Fe2 Cl8'
_cell_length_a 5.9940
_cell_length_b 5.9940
_cell_length_c 10.3083
_cell_angle_alpha 90.00
_cell_angle_beta 90.00
_cell_angle_gamma 90.00
_space_group_name_H-M_alt 'I -4'
_space_group_IT_number 82
loop_
_space_group_symop_operation_xyz
'x,y,z'
'y,-x,-z'
'-x,-y,z'
'-y,x,-z'
'x+1/2,y+1/2,z+1/2'
'y+1/2,-x+1/2,-z+1/2'
'-x+1/2,-y+1/2,z+1/2'
'-y+1/2,x+1/2,-z+1/2'
loop_
_atom_site_label
_atom_site_type_symbol
_atom_site_fract_x
_atom_site_fract_y
_atom_site_fract_z
Mg1 Mg 0.0000 0.0000 0.0000
Fe1 Fe 0.0000 0.5000 0.2500
Cl1 Cl 0.2085 0.2577 0.1253
```

=====

4.
Compound: In2AgRh
Source: the Alexandria database
Functional: PBE-GGA
Structure: relaxed

Computed properties:
Energy of formation from the pure elements in eV/atom: 0.18

Cell and atoms, written as CIF:
```
data_In2AgRh
_chemical_formula_sum 'In8 Ag4 Rh4'
_cell_length_a 4.2708
_cell_length_b 4.2708
_cell_length_c 18.6616
_cell_angle_alpha 90.00
_cell_angle_beta 90.00
_cell_angle_gamma 90.00
_space_group_name_H-M_alt 'I -4 2 d'
_space_group_IT_number 122
_space_group_name_Hall 'I -4 2bw'
loop_
_atom_site_label
_atom_site_type_symbol
_atom_site_fract_x
_atom_site_fract_y
_atom_site_fract_z
In1 In 0.2389 0.2500 0.1250
Ag1 Ag 0.0000 0.0000 0.5000
Rh1 Rh 0.0000 0.0000 0.0000
```

=====

| no. | total moment (μB/f.u.) | V (Å³ per atom) |
| --- | --- | --- |
| 1 | 0.000 | 23.198 |
| 2 | 0.480 | 12.653 |
| 3 | 4.000 | 30.863 |
| 4 | 0.000 | 21.274 |